{
  "formula": "NiPd2O4",
  "functional": "GGA+U",
  "state": "optimized geometry",
  "lattice": [[-3.1192, 3.1611, 4.2077], [3.1192, -3.1611, 4.2077], [3.1192, 3.1611, -4.2077]],
  "species": ["Ni", "Ni", "Pd", "Pd", "Pd", "Pd", "O", "O", "O", "O", "O", "O", "O", "O"],
  "fractional_positions": [[0.0000, 0.0000, 0.0000], [0.5000, 0.0000, 0.5000], [0.0000, 0.0000, 0.5000], [0.0000, 0.5000, 0.0000], [0.3794, 0.6294, 0.7500], [0.6206, 0.3706, 0.2500], [0.2106, 0.2474, 0.9632], [0.2158, 0.7526, 0.4632], [0.2424, 0.2048, 0.4625], [0.2424, 0.7799, 0.0375], [0.7576, 0.2201, 0.9625], [0.7576, 0.7952, 0.5375], [0.7842, 0.2474, 0.5368], [0.7894, 0.7526, 0.0368]],
  "n_ef_per_ev_fu": 3.04,
  "magnetic_moment_mub_per_atom": 0.0022,
  "space_group": "Imma (74)",
  "final_energy_ev_per_cell": -71.9
}